[1]
Compound: VSe2NO
Source: Alexandria
Functional: GGA+U
Structure: relaxed

Results
Total DFT energy (no corrections): -4.425 eV/atom
Density of states at the Fermi level: 1.6 states/eV/cell
Space-group type: P4/mmm
Polymorph energy (0 for the lowest one): 0.1915 eV/atom
ρ: 5.3 g/cm3

Cell and atoms, written as POSCAR:
```
VSe2NO
1.0
4.420 0.000 0.000
0.000 4.420 0.000
0.000 0.000 3.861
Se O V N
2 1 1 1
direct
0.000 0.500 0.000 Se
0.500 0.000 0.000 Se
0.000 0.000 0.000 O
0.500 0.500 0.500 V
0.000 0.000 0.500 N
```

***

[2]
Compound: VSeN2O
Source: Alexandria
Functional: GGA+U
Structure: relaxed

Results
Total DFT energy (no corrections): -5.469 eV/atom
Density of states at the Fermi level: 2.7 states/eV/cell
Space-group type: P4/mmm
ρ: 5.2 g/cm3

Cell and atoms, written as POSCAR:
```
VSeN2O
1.0
-1.951 2.614 2.010
-0.657 -2.596 2.740
3.205 1.042 1.756
V N O Se
1 2 1 1
direct
0.500 0.500 0.500 V
0.500 0.000 0.000 N
0.000 0.500 0.000 N
0.000 0.000 0.500 O
0.000 0.000 0.000 Se
```

***

[3]
Compound: VSeN2O
Source: Alexandria
Functional: GGA+U
Structure: relaxed

Results
Total DFT energy (no corrections): -4.773 eV/atom
Density of states at the Fermi level: 1.9 states/eV/cell
Space-group type: P4/mmm
ρ: 5.0 g/cm3

Cell and atoms, written as POSCAR:
```
VSeN2O
1.0
-0.509 -0.386 -3.827
-2.834 -2.572 0.636
-2.585 2.862 0.055
Se V N O
1 1 2 1
direct
0.000 0.000 0.500 Se
0.500 0.500 0.500 V
0.000 0.500 0.000 N
0.500 0.000 0.000 N
0.000 0.000 0.000 O
```

***

[4]
Compound: VSeN2O
Source: Alexandria
Functional: GGA+U
Structure: relaxed

Results
Total DFT energy (no corrections): -5.495 eV/atom
Density of states at the Fermi level: 3.7 states/eV/cell
Space-group type: P4/mmm
ρ: 4.1 g/cm3

Cell and atoms, written as POSCAR:
```
VSeN2O
1.0
3.606 0.000 0.000
0.000 3.606 0.000
0.000 0.000 5.440
V O N Se
1 1 2 1
direct
0.000 0.000 0.000 V
0.500 0.500 0.500 O
0.000 0.500 0.000 N
0.500 0.000 0.000 N
0.000 0.000 0.500 Se
```

***

[5]
Compound: VSe2NO
Source: Alexandria
Functional: GGA+U
Structure: relaxed

Results
Total DFT energy (no corrections): -4.617 eV/atom
Density of states at the Fermi level: 4.2 states/eV/cell
Space-group type: P4/mmm
Polymorph energy (0 for the lowest one): 0.0000 eV/atom
ρ: 4.7 g/cm3

Cell and atoms, written as POSCAR:
```
VSe2NO
1.0
-2.001 -3.575 2.535
3.043 0.873 3.632
-2.386 2.352 1.433
N O V Se
1 1 1 2
direct
0.000 0.000 0.500 N
0.500 0.500 0.500 O
0.000 0.000 0.000 V
0.000 0.500 0.000 Se
0.500 0.000 0.000 Se
```

***

[6]
Compound: V2SeNO
Source: Alexandria
Functional: GGA+U
Structure: relaxed

Results
Total DFT energy (no corrections): -5.121 eV/atom
Density of states at the Fermi level: 4.6 states/eV/cell
Space-group type: P4/mmm
ρ: 3.9 g/cm3

Cell and atoms, written as POSCAR:
```
V2SeNO
1.0
4.901 0.000 0.000
0.000 3.736 0.000
0.000 0.000 4.901
O N Se V
1 1 1 2
direct
0.000 0.500 0.000 O
0.500 0.500 0.500 N
0.000 0.000 0.000 Se
0.000 0.000 0.500 V
0.500 0.000 0.000 V
```

***

[7]
Compound: WSeN2O
Source: Alexandria
Functional: GGA+U
Structure: relaxed

Results
Total DFT energy (no corrections): -4.601 eV/atom
Density of states at the Fermi level: 1.0 states/eV/cell
Space-group type: P4/mmm
ρ: 8.6 g/cm3

Cell and atoms, written as POSCAR:
```
WSeN2O
1.0
3.911 0.000 0.000
0.000 3.911 0.000
0.000 0.000 3.863
W N O Se
1 2 1 1
direct
0.500 0.500 0.500 W
0.000 0.500 0.000 N
0.500 0.000 0.000 N
0.000 0.000 0.000 O
0.000 0.000 0.500 Se
```

***

[8]
Compound: WSeNO2
Source: Alexandria
Functional: GGA+U
Structure: relaxed

Results
Total DFT energy (no corrections): -6.009 eV/atom
Density of states at the Fermi level: 2.8 states/eV/cell
Space-group type: P4/mmm
ρ: 8.0 g/cm3

Cell and atoms, written as POSCAR:
```
WSeNO2
1.0
-1.737 2.414 2.500
0.519 -2.584 2.855
3.755 1.759 0.910
O W N Se
2 1 1 1
direct
0.000 0.500 0.000 O
0.500 0.000 0.000 O
0.000 0.000 0.000 W
0.000 0.000 0.500 N
0.500 0.500 0.500 Se
```

***

[9]
Compound: WSeN2O
Source: Alexandria
Functional: GGA+U
Structure: relaxed

Results
Total DFT energy (no corrections): -5.514 eV/atom
Density of states at the Fermi level: 3.5 states/eV/cell
Space-group type: P4/mmm
ρ: 6.4 g/cm3

Cell and atoms, written as POSCAR:
```
WSeN2O
1.0
3.845 0.000 0.000
0.000 3.845 0.000
0.000 0.000 5.379
O W Se N
1 1 1 2
direct
0.500 0.500 0.500 O
0.000 0.000 0.000 W
0.000 0.000 0.500 Se
0.500 0.000 0.000 N
0.000 0.500 0.000 N
```

***

[10]
Compound: WSeNO2
Source: Alexandria
Functional: GGA+U
Structure: relaxed

Results
Total DFT energy (no corrections): -5.211 eV/atom
Density of states at the Fermi level: 0.6 states/eV/cell
Space-group type: P4/mmm
ρ: 8.2 g/cm3

Cell and atoms, written as POSCAR:
```
WSeNO2
1.0
3.779 0.000 0.000
0.000 3.779 0.000
0.000 0.000 4.398
Se N O W
1 1 2 1
direct
0.000 0.000 0.000 Se
0.000 0.000 0.500 N
0.500 0.000 0.000 O
0.000 0.500 0.000 O
0.500 0.500 0.500 W
```

***

[11]
Compound: WSe2NO
Source: Alexandria
Functional: GGA+U
Structure: relaxed

Results
Total DFT energy (no corrections): -3.949 eV/atom
Density of states at the Fermi level: 3.3 states/eV/cell
Space-group type: P4/mmm
Polymorph energy (0 for the lowest one): 0.5939 eV/atom
ρ: 8.5 g/cm3

Cell and atoms, written as POSCAR:
```
WSe2NO
1.0
4.287 0.000 0.000
0.000 4.287 0.000
0.000 0.000 3.935
W Se O N
1 2 1 1
direct
0.500 0.500 0.500 W
0.500 0.000 0.000 Se
0.000 0.500 0.000 Se
0.000 0.000 0.000 O
0.000 0.000 0.500 N
```

***

[12]
Compound: WSeN2O
Source: Alexandria
Functional: GGA+U
Structure: relaxed

Results
Total DFT energy (no corrections): -5.283 eV/atom
Density of states at the Fermi level: 0.5 states/eV/cell
Space-group type: P4/mmm
ρ: 8.8 g/cm3

Cell and atoms, written as POSCAR:
```
WSeN2O
1.0
3.952 0.000 0.000
0.000 3.952 0.000
0.000 0.000 3.694
N Se O W
2 1 1 1
direct
0.500 0.000 0.000 N
0.000 0.500 0.000 N
0.000 0.000 0.000 Se
0.000 0.000 0.500 O
0.500 0.500 0.500 W
```

***

[13]
Compound: WSeN2O
Source: Alexandria
Functional: GGA+U
Structure: relaxed

Results
Total DFT energy (no corrections): -6.056 eV/atom
Density of states at the Fermi level: 2.3 states/eV/cell
Space-group type: P4/mmm
ρ: 8.0 g/cm3

Cell and atoms, written as POSCAR:
```
WSeN2O
1.0
4.087 0.000 0.000
0.000 4.087 0.000
0.000 0.000 3.834
N Se W O
2 1 1 1
direct
0.000 0.500 0.000 N
0.500 0.000 0.000 N
0.500 0.500 0.500 Se
0.000 0.000 0.000 W
0.000 0.000 0.500 O
```

***

[14]
Compound: WSe2NO
Source: Alexandria
Functional: GGA+U
Structure: relaxed

Results
Total DFT energy (no corrections): -4.543 eV/atom
Density of states at the Fermi level: 5.9 states/eV/cell
Space-group type: P4/mmm
Polymorph energy (0 for the lowest one): 0.0000 eV/atom
ρ: 6.4 g/cm3

Cell and atoms, written as POSCAR:
```
WSe2NO
1.0
5.010 0.000 0.000
0.000 5.010 0.000
0.000 0.000 3.844
N W O Se
1 1 1 2
direct
0.000 0.000 0.500 N
0.000 0.000 0.000 W
0.500 0.500 0.500 O
0.500 0.000 0.000 Se
0.000 0.500 0.000 Se
```